Record 1
Below is ZnBrF2 after structural relaxation, with properties calculated at the PBE level.

energy above the most stable polymorph in this dataset: 152 meV/atom
uncorrected formation energy: -5.4 eV/f.u.
ρ: 4.17 g cm⁻³

abc: 5.7277 5.7277 6.0137
angles: 61.56 61.56 90.00
Last column: magnetic moment on the atom in μB.
Sites, in units of the cell vectors:
Zn: 0.5000 0.5000 0.0000  0.00
Zn: 0.2500 0.7500 0.5000  0.00
Br: 0.0000 0.0000 0.0000  0.71
Br: 0.7500 0.2500 0.5000  0.71
F: 0.4667 0.1250 0.2500  0.02
F: 0.2833 0.6250 0.2500  0.03
F: 0.3750 0.5333 0.7500  0.03
F: 0.8750 0.7167 0.7500  0.03

---

Record 2
Below is NiWN3 after structural relaxation, with properties calculated at the PBE level.

uncorrected formation energy: 7.3 eV/f.u.
ρ: 10.25 g cm⁻³

abc: 3.5858 3.5858 3.5858
angles: 90.00 90.00 90.00
Sites, in units of the cell vectors:
Ni: 0.0000 0.0000 0.0000
W: 0.5000 0.5000 0.5000
N: 0.0000 0.5000 0.0000
N: 0.0000 0.0000 0.5000
N: 0.5000 0.0000 0.0000

---

Record 3
Below is LaTe2O8 after structural relaxation, with properties calculated at the PBE level.

energy above the most stable polymorph in this dataset: 199 meV/atom
uncorrected formation energy: -11.7 eV/f.u.
ρ: 5.21 g cm⁻³

abc: 5.3712 5.3712 6.9067
angles: 112.88 112.88 90.00
Last column: magnetic moment on the atom in μB.
Sites, in units of the cell vectors:
La: 0.5000 0.5000 0.0000  0.00
Te: 0.7500 0.2500 0.5000  -0.02
Te: 0.2500 0.7500 0.5000  -0.02
O: 0.8170 0.3284 0.2785  0.10
O: 0.0499 0.5384 0.7215  0.10
O: 0.6716 0.1830 0.7215  0.10
O: 0.1830 0.0499 0.7215  0.10
O: 0.4616 0.9501 0.2785  0.10
O: 0.9501 0.8170 0.2785  0.10
O: 0.3284 0.4616 0.2785  0.10
O: 0.5384 0.6716 0.7215  0.10

---

Record 4
Below is RbSr3O after structural relaxation, with properties calculated at the PBE level.

energy above the most stable polymorph in this dataset: 1874 meV/atom
uncorrected formation energy: 6.0 eV/f.u.
ρ: 1.46 g cm⁻³

abc: 7.4479 7.4479 7.4479
angles: 90.00 90.00 90.00
Sites, in units of the cell vectors:
Sr: 0.0000 0.5000 0.0000
Sr: 0.0000 0.0000 0.5000
Sr: 0.5000 0.0000 0.0000
O: 0.5000 0.5000 0.5000
Rb: 0.0000 0.0000 0.0000

---

Record 5
Below is HgGe2BO6 after structural relaxation, with properties calculated at the PBE level.

uncorrected formation energy: -14.6 eV/f.u.
ρ: 5.54 g cm⁻³

abc: 5.3001 7.5073 7.5073
angles: 96.85 74.44 74.44
Sites, in units of the cell vectors:
Hg: 0.2500 0.9218 0.0782
Hg: 0.7500 0.0782 0.9218
Ge: 0.3593 0.8012 0.6135
Ge: 0.1407 0.3865 0.1988
Ge: 0.6407 0.1988 0.3865
Ge: 0.8593 0.6135 0.8012
B: 0.2500 0.2410 0.7590
B: 0.7500 0.7590 0.2410
O: 0.2183 0.0467 0.7189
O: 0.2817 0.2811 0.9533
O: 0.7817 0.9533 0.2811
O: 0.7183 0.7189 0.0467
O: 0.4942 0.7521 0.3690
O: 0.0058 0.6310 0.2479
O: 0.5058 0.2479 0.6310
O: 0.9942 0.3690 0.7521
O: 0.0503 0.7377 0.6627
O: 0.4497 0.3373 0.2623
O: 0.9497 0.2623 0.3373
O: 0.5503 0.6627 0.7377

---

Record 6
Below is BaPtSe after structural relaxation, with properties calculated at the PBE level.

uncorrected formation energy: -3.4 eV/f.u.
ρ: 7.96 g cm⁻³

abc: 4.0628 5.9771 7.6481
angles: 100.00 90.00 109.87
Sites, in units of the cell vectors:
Pt: 0.3785 0.8405 0.5211
Pt: 0.7947 0.6730 0.3052
Ba: 0.4476 0.9788 0.0675
Ba: 0.1078 0.2995 0.5707
Se: 0.1785 0.4406 0.1488
Se: 0.8568 0.7972 0.7307

---

Record 7
Below is KCaIr2 after structural relaxation, with properties calculated at the PBE level.

energy above the most stable polymorph in this dataset: 143 meV/atom
ρ: 8.75 g cm⁻³

abc: 6.6662 6.6662 5.6196
angles: 57.80 57.80 24.86
Sites, in units of the cell vectors:
Ca: 0.2782 0.2782 0.2717
Ir: 0.0392 0.0392 0.8889
Ir: 0.7070 0.7070 0.8635
K: 0.4755 0.4755 0.4760

---

Record 8
Below is AcInGa2 after structural relaxation, with properties calculated at the PBE level.

energy above the most stable polymorph in this dataset: 143 meV/atom
ρ: 7.57 g cm⁻³

abc: 4.5836 4.7998 4.7998
angles: 90.00 90.00 90.00
Sites, in units of the cell vectors:
Ac: 0.5000 0.5000 0.5000
Ga: 0.0000 0.0000 0.5000
Ga: 0.0000 0.5000 0.0000
In: 0.5000 0.0000 0.0000

---

Record 9
Below is ZnBiPt6 after structural relaxation, with properties calculated at the PBE level.

raw total energy: -43.20 eV per cell
ρ: 18.09 g cm⁻³

abc: 4.0462 4.0462 8.0999
angles: 90.00 90.00 90.00
Sites, in units of the cell vectors:
Zn: 0.0000 0.0000 0.5000
Bi: 0.0000 0.0000 0.0000
Pt: 0.5000 0.5000 0.0000
Pt: 0.5000 0.5000 0.5000
Pt: 0.5000 0.0000 0.2685
Pt: 0.5000 0.0000 0.7315
Pt: 0.0000 0.5000 0.2685
Pt: 0.0000 0.5000 0.7315

---

Record 10
Below is Dy3Y2S8 after structural relaxation, with properties calculated at the PBE level.

uncorrected formation energy: -24.5 eV/f.u.
ρ: 4.50 g cm⁻³

abc: 6.6931 7.9212 7.9022
angles: 120.08 107.28 90.00
Sites, in units of the cell vectors:
Dy: 0.5000 0.0000 0.0000
Dy: 0.0000 0.2627 0.0000
Dy: 0.0000 0.7373 0.0000
Y: 0.3422 0.2622 0.5244
Y: 0.6579 0.7378 0.4756
S: 0.9099 0.6194 0.2388
S: 0.0901 0.3806 0.7612
S: 0.9284 0.1167 0.2334
S: 0.0716 0.8833 0.7666
S: 0.5860 0.6416 0.7516
S: 0.5860 0.1099 0.7516
S: 0.4140 0.8901 0.2484
S: 0.4140 0.3584 0.2484

---

Record 11
Below is NdZnGa3Cu after structural relaxation, with properties calculated at the PBE level.

raw total energy: -39.99 eV per cell
ρ: 6.82 g cm⁻³

abc: 6.0449 6.1343 7.0392
angles: 115.83 90.00 90.00
Sites, in units of the cell vectors:
Nd: 0.7500 0.2930 0.5860
Nd: 0.2500 0.7070 0.4140
Zn: 0.2500 0.3485 0.6969
Zn: 0.7500 0.6515 0.3031
Ga: 0.2500 0.1407 0.2813
Ga: 0.0000 0.2896 0.0000
Ga: 0.5000 0.7104 0.0000
Ga: 0.5000 0.2896 0.0000
Ga: 0.0000 0.7104 0.0000
Ga: 0.7500 0.8593 0.7187
Cu: 0.2500 0.9308 0.8617
Cu: 0.7500 0.0692 0.1383

---

Record 12
Below is Tl5GeSe4Br2 after structural relaxation, with properties calculated at the PBE level.

uncorrected formation energy: -5.8 eV/f.u.
ρ: 6.33 g cm⁻³

abc: 8.6933 6.6270 9.4669
angles: 90.00 90.00 130.99
Sites, in units of the cell vectors:
Tl: 0.1223 0.3688 0.2340
Tl: 0.4365 0.0000 0.5000
Tl: 0.1223 0.3688 0.7660
Tl: 0.7535 0.6312 0.7660
Tl: 0.7535 0.6312 0.2340
Ge: 0.3493 0.0000 0.0000
Se: 0.5317 0.0000 0.1940
Se: 0.5317 0.0000 0.8060
Se: 0.4080 0.4019 0.0000
Se: 0.0062 0.5981 0.0000
Br: 0.9691 0.5478 0.5000
Br: 0.4213 0.4522 0.5000

---

Record 13
Below is Zr2AgPb after structural relaxation, with properties calculated at the PBE level.

raw total energy: -24.01 eV per cell
ρ: 9.42 g cm⁻³

abc: 4.2631 3.2220 7.1369
angles: 63.41 90.00 90.00
Sites, in units of the cell vectors:
Ag: 0.5000 0.2500 0.2500
Pb: 0.5000 0.7500 0.7500
Zr: 0.0000 0.9896 0.0097
Zr: 0.0000 0.5104 0.4903

---

Record 14
Below is Nd3MgRu after structural relaxation, with properties calculated at the PBE level.

energy above the most stable polymorph in this dataset: 125 meV/atom
ρ: 5.57 g cm⁻³

abc: 5.4998 5.4998 5.4998
angles: 90.00 90.00 90.00
Sites, in units of the cell vectors:
Ru: 0.0000 0.0000 0.0000
Mg: 0.5000 0.5000 0.5000
Nd: 0.0000 0.5000 0.0000
Nd: 0.0000 0.0000 0.5000
Nd: 0.5000 0.0000 0.0000

---

Record 15
Below is LiPr6Zn5 after structural relaxation, with properties calculated at the PBE level.

raw total energy: -40.00 eV per cell
ρ: 6.31 g cm⁻³

abc: 5.2530 9.1353 9.1353
angles: 120.05 106.71 106.71
Sites, in units of the cell vectors:
Pr: 0.2533 0.0839 0.4227
Pr: 0.7467 0.5773 0.9161
Pr: 0.7577 0.2577 0.2577
Pr: 0.2423 0.7423 0.7423
Pr: 0.2533 0.4227 0.0839
Pr: 0.7467 0.9161 0.5773
Zn: 0.5000 0.1604 0.8396
Zn: 0.0000 0.3338 0.6662
Zn: 0.5000 0.5000 0.5000
Zn: 0.0000 0.6662 0.3338
Zn: 0.5000 0.8396 0.1604
Li: 0.0000 0.0000 0.0000

---

Record 16
Below is MgBiPb3 after structural relaxation, with properties calculated at the PBE level.

energy above the most stable polymorph in this dataset: 349 meV/atom
ρ: 8.40 g cm⁻³

abc: 5.5298 5.5298 5.5298
angles: 90.00 90.00 90.00
Sites, in units of the cell vectors:
Pb: 0.0000 0.5000 0.0000
Pb: 0.0000 0.0000 0.5000
Pb: 0.5000 0.0000 0.0000
Mg: 0.0000 0.0000 0.0000
Bi: 0.5000 0.5000 0.5000

---

Record 17
Below is TlTeAu after structural relaxation, with properties calculated at the PBE level.

uncorrected formation energy: -0.6 eV/f.u.
ρ: 9.40 g cm⁻³

abc: 4.7045 4.7045 4.8728
angles: 90.00 90.00 120.00
Sites, in units of the cell vectors:
Tl: 0.6667 0.3333 0.6511
Te: 0.3333 0.6667 0.1505
Au: 0.0000 0.0000 0.1985

---

Record 18
Below is Nd3SmPd2 after structural relaxation, with properties calculated at the PBE level.

energy above the most stable polymorph in this dataset: 0 meV/atom
ρ: 7.63 g cm⁻³

abc: 7.0134 7.3938 7.9710
angles: 105.62 90.00 118.31
Last column: magnetic moment on the atom in μB.
Sites, in units of the cell vectors:
Nd: 0.2458 0.0000 0.7500  0.05
Nd: 0.7542 0.0000 0.2500  0.05
Nd: 0.7862 0.5725 0.8931  0.04
Nd: 0.2137 0.4275 0.6069  0.04
Nd: 0.7863 0.5725 0.3931  0.04
Nd: 0.2138 0.4275 0.1069  0.04
Sm: 0.2556 0.0000 0.2500  0.05
Sm: 0.7444 0.0000 0.7500  0.05
Pd: 0.3806 0.7625 0.4406  0.01
Pd: 0.3820 0.7625 0.9406  0.01
Pd: 0.6180 0.2375 0.0594  0.01
Pd: 0.6194 0.2375 0.5594  0.01

---

Record 19
Below is Pm3InTe after structural relaxation, with properties calculated at the PBE level.

energy above the most stable polymorph in this dataset: 0 meV/atom
uncorrected formation energy: -3.6 eV/f.u.
ρ: 7.08 g cm⁻³

abc: 4.7137 8.0205 16.8019
angles: 90.00 90.00 90.00
Sites, in units of the cell vectors:
Pm: 0.2500 0.3716 0.5549
Pm: 0.7500 0.8028 0.2369
Pm: 0.7500 0.5043 0.8857
Pm: 0.7500 0.0043 0.6143
Pm: 0.7500 0.6284 0.4451
Pm: 0.2500 0.9957 0.3857
Pm: 0.2500 0.8716 0.9451
Pm: 0.7500 0.3028 0.2631
Pm: 0.2500 0.6972 0.7369
Pm: 0.2500 0.1972 0.7631
Pm: 0.7500 0.1284 0.0549
Pm: 0.2500 0.4957 0.1143
In: 0.7500 0.9239 0.8119
In: 0.2500 0.0761 0.1881
In: 0.7500 0.4239 0.6881
In: 0.2500 0.5761 0.3119
Te: 0.2500 0.2867 0.9526
Te: 0.2500 0.7867 0.5474
Te: 0.7500 0.2133 0.4526
Te: 0.7500 0.7133 0.0474

---

Record 20
Below is Ce5Te2Ru after structural relaxation, with properties calculated at the PBE level.

energy above the most stable polymorph in this dataset: 336 meV/atom
uncorrected formation energy: -3.5 eV/f.u.
ρ: 6.97 g cm⁻³

abc: 6.1121 6.9440 13.2106
angles: 90.00 90.00 116.11
Last column: magnetic moment on the atom in μB.
Sites, in units of the cell vectors:
Ce: 0.9429 0.8858 0.8867  0.62
Ce: 0.9429 0.8858 0.6133  0.62
Ce: 0.3725 0.7450 0.4053  0.93
Ce: 0.3725 0.7450 0.0947  0.93
Ce: 0.6335 0.2671 0.2500  0.87
Ce: 0.3665 0.7329 0.7500  0.87
Ce: 0.6275 0.2550 0.5947  0.93
Ce: 0.6275 0.2550 0.9053  0.93
Ce: 0.0571 0.1142 0.1133  0.62
Ce: 0.0571 0.1142 0.3867  0.62
Te: 0.8035 0.6071 0.4164  -0.01
Te: 0.8035 0.6071 0.0836  -0.01
Te: 0.1965 0.3929 0.5836  -0.01
Te: 0.1965 0.3929 0.9164  -0.01
Ru: 0.8071 0.6143 0.7500  -0.12
Ru: 0.1929 0.3857 0.2500  -0.12

---

Record 21
Below is K5NpSe4 after structural relaxation, with properties calculated at the PBE level.

uncorrected formation energy: -10.3 eV/f.u.
ρ: 3.20 g cm⁻³

abc: 4.6243 8.7272 10.0894
angles: 100.92 103.25 90.00
Last column: magnetic moment on the atom in μB.
Sites, in units of the cell vectors:
K: 0.8486 0.6575 0.6973  0.01
K: 0.8224 0.1237 0.6448  0.00
K: 0.1776 0.8763 0.3552  0.00
K: 0.5000 0.5000 0.0000  0.00
K: 0.1514 0.3425 0.3027  0.01
Np: 0.5000 0.0000 0.0000  3.79
Se: 0.3493 0.8927 0.6985  -0.03
Se: 0.0119 0.7817 0.0237  -0.05
Se: 0.6507 0.1073 0.3015  -0.03
Se: 0.9881 0.2183 0.9763  -0.05

---

Record 22
Below is NiPtRh3 after structural relaxation, with properties calculated at the PBE level.

energy above the most stable polymorph in this dataset: 1173 meV/atom
ρ: 10.84 g cm⁻³

abc: 4.4167 4.4167 4.4167
angles: 90.00 90.00 90.00
Last column: magnetic moment on the atom in μB.
Sites, in units of the cell vectors:
Ni: 0.0000 0.0000 0.0000  0.81
Rh: 0.0000 0.5000 0.0000  0.77
Rh: 0.0000 0.0000 0.5000  1.20
Rh: 0.5000 0.0000 0.0000  0.76
Pt: 0.5000 0.5000 0.5000  0.40

---

Record 23
Below is NiAgSe after structural relaxation, with properties calculated at the PBE level.

energy above the most stable polymorph in this dataset: 70 meV/atom
uncorrected formation energy: 0.1 eV/f.u.
ρ: 7.77 g cm⁻³

abc: 3.2014 3.2014 5.9108
angles: 90.00 90.00 120.00
Sites, in units of the cell vectors:
Ag: 0.0000 0.0000 0.0313
Ni: 0.6667 0.3333 0.3665
Se: 0.3333 0.6667 0.6022

---

Record 24
Below is MgPdSe after structural relaxation, with properties calculated at the PBE level.

uncorrected formation energy: -2.0 eV/f.u.
ρ: 6.15 g cm⁻³

abc: 4.1420 4.1427 6.6007
angles: 91.50 91.52 89.67
Sites, in units of the cell vectors:
Mg: 0.1045 0.6289 0.5715
Mg: 0.5888 0.1130 0.1617
Pd: 0.1532 0.1783 0.8579
Pd: 0.6543 0.6773 0.8584
Se: 0.5700 0.0938 0.5731
Se: 0.0452 0.5687 0.1657